No. 1
Zr2Al2Fe | PBE | optimized geometry

Calculated values
D(E_F), states/eV/f.u.: 4.4
Space group: No. 127
Total DFT energy (no corrections), eV per atom: -6.83
Magnetic moment, μB/atom: 0.0001

Cell lengths 6.6499, 6.6499, 4.0319 Å; angles 90.00, 90.00, 90.00 degrees
Sites, in units of the cell vectors:
Zr 0.6706 0.8294 0.5000
Zr 0.3294 0.1706 0.5000
Al 0.8628 0.6372 0.0000
Al 0.1372 0.3628 0.0000
Fe 0.5000 0.5000 0.0000
Zr 0.1706 0.6706 0.5000
Zr 0.8294 0.3294 0.5000
Al 0.6372 0.1372 0.0000
Al 0.3628 0.8628 0.0000
Fe 0.0000 0.0000 0.0000

***

No. 2
YHf | PBE | optimized geometry

Calculated values
D(E_F), states/eV/f.u.: 2.6
Space group: No. 83
Total DFT energy (no corrections), eV per atom: -7.89
Magnetic moment, μB/atom: 0.0000

Cell lengths 9.5317, 9.5317, 5.1569 Å; angles 90.00, 90.00, 90.00 degrees
Sites, in units of the cell vectors:
Y 0.8740 0.7517 0.5000
Y 0.9231 0.3394 0.0000
Y 0.1260 0.2483 0.5000
Y 0.7517 0.1260 0.5000
Hf 0.5570 0.7356 0.5000
Hf 0.3959 0.7078 0.0000
Y 0.2483 0.8740 0.5000
Hf 0.4430 0.2644 0.5000
Hf 0.6041 0.2922 0.0000
Y 0.3394 0.0769 0.0000
Y 0.6606 0.9231 0.0000
Hf 0.2922 0.3959 0.0000
Hf 0.2644 0.5570 0.5000
Y 0.0769 0.6606 0.0000
Hf 0.7356 0.4430 0.5000
Hf 0.7078 0.6041 0.0000

***

Question: D(E_F) of number 1 (Zr2Al2Fe)?
Answer: 4.4 states/eV/f.u.

***

Question: Look up the magnetic moment of the first one.
Answer: 0.0001 μB/atom